#P
Computed, not measured: an optimized crystal structure of Hf2Sc2O5 at the GGA-PBE level of DFT.

```
Hf2Sc2O5
1.0
4.0604 0.0000 0.0000
0.0000 4.0604 0.0000
0.0000 0.0000 7.2588
Hf Sc O
2 2 5
Direct
0.0000 0.0000 0.2179
0.0000 0.0000 0.7821
0.5000 0.5000 0.0000
0.5000 0.5000 0.5000
0.0000 0.0000 0.5000
0.0000 0.5000 0.2182
0.0000 0.5000 0.7818
0.5000 0.0000 0.2182
0.5000 0.0000 0.7818
```

Computed properties:
Symmetry   P4/mmm, No. 123

---

#Q
Computed, not measured: an optimized crystal structure of Hf2Sc2O5 at the GGA-PBE level of DFT.

```
Hf2Sc2O5
1.0
3.4959 0.0000 0.0000
0.0000 3.4959 0.0000
0.0000 0.0000 9.4058
Hf Sc O
2 2 5
Direct
0.0000 0.0000 0.0000
0.0000 0.0000 0.5000
0.5000 0.5000 0.2476
0.5000 0.5000 0.7524
0.0000 0.5000 0.1346
0.0000 0.5000 0.8654
0.5000 0.0000 0.1346
0.5000 0.0000 0.8654
0.5000 0.5000 0.5000
```

Computed properties:
Symmetry   P4/mmm, No. 123

---

According to the calculations, the structures order from most to least stable as #Q, #P.

---

#P
Computed, not measured: an optimized crystal structure of Hf31SeO64 at the GGA-PBE level of DFT.

```
Hf31SeO64
1.0
10.2030 0.0000 0.0000
0.0289 10.3082 0.0000
1.7507 -0.0010 10.4230
Hf Se O
31 1 64
Direct
0.0000 0.0000 0.0000
0.9998 0.0002 0.5051
0.0006 0.7128 0.7526
0.0015 0.2042 0.7532
0.2146 0.7473 0.4596
0.2148 0.7518 0.9631
0.2178 0.2481 0.9609
0.2203 0.2510 0.4617
0.2202 0.4575 0.2096
0.2204 0.4588 0.7113
0.2203 0.9597 0.2115
0.4938 0.5029 0.0021
0.4961 0.0001 0.0029
0.4962 0.7093 0.2532
0.4971 0.2095 0.2518
0.4966 0.5016 0.5031
0.4986 0.2137 0.7561
0.5024 0.7071 0.7508
0.5080 0.0027 0.4961
0.7195 0.4589 0.2099
0.7214 0.2499 0.9600
0.7210 0.7504 0.9606
0.7225 0.2528 0.4602
0.7224 0.7507 0.4602
0.7224 0.9591 0.2074
0.7217 0.9586 0.7107
0.7247 0.4585 0.7109
0.9963 0.5005 0.0018
0.9962 0.7089 0.2521
0.9970 0.2076 0.2535
0.9984 0.5003 0.5043
0.2529 0.9530 0.6972
0.0731 0.8488 0.8770
0.0780 0.8436 0.6080
0.0817 0.3506 0.1174
0.0823 0.3600 0.8668
0.0819 0.8589 0.3644
0.0832 0.3521 0.6180
0.0829 0.3588 0.3673
0.0830 0.8515 0.1195
0.1310 0.1062 0.8552
0.1330 0.1129 0.5936
0.1334 0.6090 0.0966
0.1359 0.1012 0.3470
0.1359 0.1080 0.0993
0.1360 0.6018 0.3466
0.1370 0.6013 0.8463
0.1382 0.6054 0.5966
0.3234 0.3968 0.0286
0.3244 0.3116 0.7780
0.3244 0.8221 0.7763
0.3243 0.8939 0.0305
0.3255 0.3151 0.2794
0.3264 0.3943 0.5302
0.3269 0.8203 0.2869
0.3267 0.8938 0.5384
0.3899 0.5685 0.1818
0.3922 0.6463 0.4344
0.3917 0.6482 0.9287
0.3932 0.0653 0.1834
0.3932 0.1455 0.9333
0.3934 0.5663 0.6836
0.3939 0.1424 0.4348
0.3962 0.0555 0.6844
0.5810 0.3519 0.1166
0.5809 0.3580 0.8664
0.5823 0.3588 0.3671
0.5817 0.8509 0.1170
0.5822 0.8513 0.6158
0.5817 0.8579 0.8662
0.5832 0.8595 0.3660
0.5842 0.3525 0.6176
0.6311 0.1101 0.5963
0.6335 0.6083 0.0959
0.6345 0.1007 0.8456
0.6344 0.1086 0.0960
0.6345 0.6018 0.3461
0.6348 0.6002 0.8455
0.6367 0.6091 0.5963
0.6379 0.1021 0.3450
0.8224 0.8977 0.5281
0.8236 0.8135 0.7789
0.8240 0.8137 0.2787
0.8239 0.8946 0.0290
0.8249 0.3157 0.2803
0.8247 0.3932 0.0306
0.8259 0.3137 0.7802
0.8262 0.3957 0.5299
0.8887 0.1406 0.9320
0.8901 0.6415 0.9327
0.8919 0.0642 0.6833
0.8924 0.1447 0.4335
0.8917 0.5646 0.1834
0.8931 0.0651 0.1821
0.8941 0.6454 0.4338
0.8946 0.5656 0.6835
```

Computed properties:
Symmetry   P1, No. 1

---

#Q
Computed, not measured: an optimized crystal structure of Hf31SeO64 at the GGA-PBE level of DFT.

```
Hf31SeO64
1.0
10.0253 0.0000 0.0000
0.0294 10.0788 0.0000
0.0169 0.0008 10.4548
Hf Se O
31 1 64
Direct
0.0000 0.0000 0.0000
0.0000 0.2491 0.7176
0.9996 0.4992 0.4991
0.2243 0.7460 0.9622
0.2261 0.9978 0.2518
0.2317 0.2534 0.9694
0.2324 0.7486 0.4654
0.2322 0.9957 0.7447
0.2335 0.2506 0.4652
0.2332 0.4981 0.7484
0.2329 0.4994 0.2478
0.4998 0.0014 0.4993
0.4997 0.4999 0.5008
0.5002 0.5024 0.9991
0.5002 0.7524 0.7162
0.5023 0.2514 0.7171
0.5035 0.7506 0.2211
0.5067 0.2521 0.2154
0.7275 0.7563 0.9660
0.7293 0.0018 0.7499
0.7292 0.2474 0.9659
0.7311 0.0029 0.2477
0.7322 0.5019 0.7512
0.7326 0.2506 0.4670
0.7328 0.5013 0.2496
0.7328 0.7513 0.4669
0.9948 0.4979 0.9978
0.9973 0.7491 0.2148
0.9965 0.7497 0.7153
0.9980 0.0019 0.4998
0.9985 0.2497 0.2163
0.4719 0.9898 0.0102
0.0927 0.8732 0.8644
0.0945 0.1251 0.3513
0.0946 0.6235 0.8478
0.0953 0.8751 0.3649
0.0965 0.6246 0.3479
0.0972 0.3742 0.8671
0.0967 0.3748 0.3654
0.1044 0.1236 0.8501
0.1325 0.6223 0.0969
0.1350 0.8737 0.6149
0.1362 0.3734 0.6165
0.1364 0.3736 0.1154
0.1364 0.6236 0.5984
0.1369 0.8722 0.1144
0.1376 0.1234 0.5987
0.1397 0.1239 0.1012
0.3268 0.8150 0.7983
0.3289 0.5691 0.9162
0.3307 0.0559 0.9240
0.3307 0.0698 0.4124
0.3311 0.3161 0.8013
0.3308 0.8201 0.2981
0.3321 0.3188 0.2975
0.3317 0.5694 0.4148
0.3978 0.5780 0.1630
0.3981 0.8302 0.0469
0.3995 0.8209 0.5493
0.4013 0.0692 0.6685
0.4023 0.3193 0.0501
0.4016 0.3202 0.5488
0.4015 0.5685 0.6666
0.4047 0.0623 0.1625
0.5921 0.8759 0.8603
0.5928 0.1250 0.3523
0.5936 0.6269 0.8514
0.5953 0.3785 0.8658
0.5963 0.3756 0.3652
0.5956 0.6254 0.3507
0.5956 0.8755 0.3668
0.6069 0.1344 0.8414
0.6352 0.1252 0.5972
0.6345 0.3811 0.1153
0.6348 0.6280 0.1002
0.6349 0.8744 0.1190
0.6356 0.6260 0.6005
0.6362 0.8762 0.6137
0.6379 0.3757 0.6159
0.6508 0.1354 0.1130
0.8289 0.5739 0.9169
0.8287 0.8202 0.7990
0.8297 0.0706 0.4161
0.8297 0.8179 0.2991
0.8308 0.3210 0.2997
0.8306 0.5698 0.4168
0.8346 0.0709 0.9158
0.8348 0.3256 0.8011
0.9000 0.8209 0.0488
0.9011 0.3179 0.0498
0.9008 0.5688 0.1663
0.9008 0.5707 0.6655
0.9014 0.8209 0.5487
0.9017 0.0709 0.6669
0.9026 0.3188 0.5495
0.9073 0.0658 0.1691
```

Computed properties:
Symmetry   P1, No. 1

---

According to the calculations, the structures order from most to least stable as #P, #Q.

---

#P
Computed, not measured: an optimized crystal structure of Sm2Hf2O5 at the GGA-PBE level of DFT.

```
Sm2Hf2O5
1.0
4.0995 0.0000 0.0000
0.0000 4.0995 0.0000
0.0000 0.0000 7.3766
Sm Hf O
2 2 5
Direct
0.0000 0.0000 0.0000
0.0000 0.0000 0.5000
0.5000 0.5000 0.2183
0.5000 0.5000 0.7817
0.0000 0.5000 0.2539
0.0000 0.5000 0.7461
0.5000 0.0000 0.2539
0.5000 0.0000 0.7461
0.5000 0.5000 0.5000
```

Computed properties:
Symmetry   P4/mmm, No. 123

---

#Q
Computed, not measured: an optimized crystal structure of Sm2Hf2O5 at the GGA-PBE level of DFT.

```
Sm2Hf2O5
1.0
3.6666 0.0000 0.0000
0.0000 3.6666 0.0000
0.0000 0.0000 9.8908
Sm Hf O
2 2 5
Direct
0.0000 0.0000 0.2491
0.0000 0.0000 0.7509
0.5000 0.5000 0.0000
0.5000 0.5000 0.5000
0.0000 0.0000 0.0000
0.0000 0.5000 0.3767
0.0000 0.5000 0.6233
0.5000 0.0000 0.3767
0.5000 0.0000 0.6233
```

Computed properties:
Symmetry   P4/mmm, No. 123

---

According to the calculations, the structures order from most to least stable as #P, #Q.

---

#P
Computed, not measured: an optimized crystal structure of Hf2Sn2O5 at the GGA-PBE level of DFT.

```
Hf2Sn2O5
1.0
4.1042 0.0000 0.0000
0.0000 4.1042 0.0000
0.0000 0.0000 6.7512
Hf Sn O
2 2 5
Direct
0.0000 0.0000 0.0000
0.0000 0.0000 0.5000
0.5000 0.5000 0.2019
0.5000 0.5000 0.7981
0.0000 0.5000 0.2873
0.0000 0.5000 0.7127
0.5000 0.0000 0.2873
0.5000 0.0000 0.7127
0.5000 0.5000 0.5000
```

Computed properties:
Symmetry   P4/mmm, No. 123

---

#Q
Computed, not measured: an optimized crystal structure of Hf2Sn2O5 at the GGA-PBE level of DFT.

```
Hf2Sn2O5
1.0
4.0914 0.0000 0.0000
0.0000 4.0914 0.0000
0.0000 0.0000 8.1316
Hf Sn O
2 2 5
Direct
0.0000 0.0000 0.2491
0.0000 0.0000 0.7509
0.5000 0.5000 0.0000
0.5000 0.5000 0.5000
0.0000 0.0000 0.0000
0.0000 0.5000 0.2434
0.0000 0.5000 0.7566
0.5000 0.0000 0.2434
0.5000 0.0000 0.7566
```

Computed properties:
Symmetry   P4/mmm, No. 123

---

According to the calculations, the structures order from most to least stable as #Q, #P.